# Ac2SnBiPt6 | Alexandria via LeMat-Bulk | PBE | optimized geometry
# formation energy = -682 meV per atom
data_Ac2SnBiPt6
_cell_length_a 5.613
_cell_length_b 6.971
_cell_length_c 7.217
_cell_angle_alpha 81.19
_cell_angle_beta 67.20
_cell_angle_gamma 66.26
_space_group_name_H-M_alt 'P -1'
_space_group_IT_number 2
_space_group_name_Hall '-P 1'
loop_
_atom_site_label
_atom_site_type_symbol
_atom_site_fract_x
_atom_site_fract_y
_atom_site_fract_z
Ac1 Ac 0.247 0.291 0.214
Sn1 Sn 0.500 0.500 0.500
Bi1 Bi 0.000 0.000 0.000
Pt1 Pt 0.250 0.259 0.745
Pt2 Pt 0.251 0.741 0.256
Pt3 Pt 0.253 0.913 0.585